1.
CsNa2CuS | PBE | optimized geometry

Structure (POSCAR):
```
CsNa2CuS
1.0
6.331 0.000 0.000
0.000 6.331 0.000
0.000 0.000 5.400
Cs Na Cu S
1 2 1 1
direct
0.000 0.000 0.000
0.000 0.500 0.000
0.500 0.000 0.000
0.000 0.000 0.500
0.500 0.500 0.500
```

**N(E_F)**: 1.6 states/eV/cell
**Raw total energy**: -1.466 eV/atom
**Space-group type**: P4/mmm (123)



2.
CsNaCuSe2 | PBE | optimized geometry

Structure (POSCAR):
```
CsNaCuSe2
1.0
3.564 -7.596 0.000
3.564 7.596 0.000
0.000 0.000 6.106
Cs Na Cu Se
2 2 2 4
direct
0.250 0.750 0.751
0.750 0.250 0.249
0.250 0.250 0.000
0.750 0.750 0.000
0.000 0.000 0.500
0.500 0.500 0.500
0.111 0.889 0.257
0.389 0.611 0.257
0.611 0.389 0.743
0.889 0.111 0.743
```

**N(E_F)**: 10.4 states/eV/cell
**Raw total energy**: -3.282 eV/atom
**Space-group type**: Cmme (67)



3.
Cs2NaCuSe2 | PBE | optimized geometry

Structure (POSCAR):
```
Cs2NaCuSe2
1.0
-3.425 8.075 3.388
3.425 -8.075 3.388
3.425 8.075 -3.388
Cs Na Cu Se
4 2 2 4
direct
0.167 0.247 0.414
0.333 0.747 0.080
0.667 0.253 0.920
0.833 0.753 0.586
0.250 0.750 0.500
0.750 0.250 0.500
0.250 0.250 0.000
0.750 0.750 0.000
0.084 0.785 0.868
0.416 0.285 0.701
0.584 0.715 0.299
0.916 0.215 0.132
```

**Raw total energy**: -3.163 eV/atom
**Space-group type**: Ibam (72)



4.
CsNa2CuSn | PBE | optimized geometry

Structure (POSCAR):
```
CsNa2CuSn
1.0
6.029 0.000 0.000
0.000 6.029 0.000
0.000 0.000 5.071
Cs Na Cu Sn
1 2 1 1
direct
0.000 0.000 0.000
0.000 0.500 0.500
0.500 0.000 0.500
0.500 0.500 0.000
0.500 0.500 0.500
```

**Formation energy**: 25.7 meV/atom
**N(E_F)**: 0.6 states/eV/cell
**Raw total energy**: -2.292 eV/atom
**Space-group type**: P4/mmm (123)
**Energy above the lowest structure with this stoichiometry**: 0.04 eV/f.u.